(1)
DFT (PBEsol) results for crystalline KSbMo2 at its relaxed geometry.

Output
ρ in Mg/m³: 6.9
VASP energy in eV/atom: -6.23
D(E_F) in states/eV per atom: 0.936
Spin magnetization in μB/cell: 0.0

Lattice parameters (Å, degrees): 2.7896 5.3523 6.4072 114.69 102.57 90.00
Fractional coordinates of all 4 atoms:
1 K 0.5000 0.0000 0.0000
2 Mo 0.7106 0.7106 0.4211
3 Mo 0.2894 0.2894 0.5789
4 Sb 0.0000 0.5000 0.0000

(2)
DFT (PBEsol) results for crystalline Sr2P at its relaxed geometry.

Output
ρ in Mg/m³: 3.5
D(E_F) in states/eV per atom: 0.414
Formation enthalpy at 0 K in eV/atom: -0.79
Spin magnetization in μB/cell: 1.3

Lattice parameters (Å, degrees): 4.1740 7.0008 7.0501 90.00 90.00 107.34
Fractional coordinates of all 6 atoms:
1 Sr 0.5046 0.0092 0.2033
2 Sr 0.7690 0.5381 0.0268
3 Sr 0.4954 0.9908 0.7033
4 Sr 0.2310 0.4619 0.5268
5 P 0.1133 0.2266 0.9364
6 P 0.8867 0.7734 0.4364

(3)
DFT (PBEsol) results for crystalline NaSr11Pt3O18 at its relaxed geometry.

Output
ρ in Mg/m³: 6.5
VASP energy in eV/atom: -6.37
D(E_F) in states/eV per atom: 0.592
Spin magnetization in μB/cell: 0.0

Lattice parameters (Å, degrees): 9.6482 9.6482 11.7741 90.00 90.00 120.00
Fractional coordinates of all 66 atoms:
1 Sr 0.9632 0.6623 0.6709
2 Sr 0.0243 0.3339 0.8344
3 Sr 0.3010 0.3377 0.3291
4 Sr 0.0000 0.0000 0.0000
5 Sr 0.9757 0.3096 0.1656
6 Sr 0.6904 0.6661 0.1656
7 Sr 0.0000 0.3669 0.5000
8 Sr 0.3669 0.0000 0.5000
9 Sr 0.3333 0.6667 0.6666
10 Sr 0.6661 0.6904 0.8344
11 Sr 0.3377 0.3010 0.6709
12 Sr 0.6990 0.0368 0.6709
13 Sr 0.6331 0.6331 0.5000
14 Sr 0.3096 0.9757 0.8344
15 Sr 0.0000 0.6320 0.0000
16 Sr 0.3339 0.0243 0.1656
17 Sr 0.0000 0.0000 0.5000
18 Sr 0.3680 0.3680 0.0000
19 Sr 0.6623 0.9632 0.3291
20 Sr 0.6667 0.3333 0.3334
21 Sr 0.0368 0.6990 0.3291
22 Sr 0.6320 0.0000 0.0000
23 O 0.5158 0.6920 0.0177
24 O 0.9744 0.8153 0.8503
25 O 0.8492 0.3587 0.6853
26 O 0.1491 0.6410 0.8177
27 O 0.1592 0.1847 0.1497
28 O 0.6413 0.4905 0.6853
29 O 0.4842 0.1762 0.9823
30 O 0.1847 0.1592 0.8503
31 O 0.1858 0.0261 0.3492
32 O 0.8153 0.9744 0.1497
33 O 0.8403 0.8142 0.3492
34 O 0.3073 0.4816 0.5154
35 O 0.8142 0.8403 0.6508
36 O 0.8408 0.0256 0.8503
37 O 0.4816 0.3073 0.4846
38 O 0.6920 0.5158 0.9823
39 O 0.5081 0.3590 0.1823
40 O 0.8238 0.3080 0.9823
41 O 0.5184 0.8258 0.5154
42 O 0.1742 0.6927 0.5154
43 O 0.0261 0.1858 0.6508
44 O 0.1508 0.5095 0.3147
45 O 0.4905 0.6413 0.3147
46 O 0.3587 0.8492 0.3147
47 O 0.5095 0.1508 0.6853
48 O 0.9739 0.1597 0.3492
49 O 0.8258 0.5184 0.4846
50 O 0.6927 0.1742 0.4846
51 O 0.3590 0.5081 0.8177
52 O 0.4919 0.8509 0.8177
53 O 0.1762 0.4842 0.0177
54 O 0.8509 0.4919 0.1823
55 O 0.3080 0.8238 0.0177
56 O 0.6410 0.1491 0.1823
57 O 0.0256 0.8408 0.1497
58 O 0.1597 0.9739 0.6508
59 Na 0.3333 0.6667 0.1660
60 Na 0.6667 0.3333 0.8340
61 Pt 0.0000 0.0000 0.7504
62 Pt 0.6667 0.3333 0.5862
63 Pt 0.6667 0.3333 0.0807
64 Pt 0.3333 0.6667 0.4138
65 Pt 0.0000 0.0000 0.2496
66 Pt 0.3333 0.6667 0.9193

(4)
DFT (PBEsol) results for crystalline Cs3BP at its relaxed geometry.

Output
ρ in Mg/m³: 2.5
D(E_F) in states/eV per atom: 2.034
Formation enthalpy at 0 K in eV/atom: 1.03
Spin magnetization in μB/cell: 3.1

Lattice parameters (Å, degrees): 6.6506 6.6506 6.6506 90.00 90.00 90.00
Fractional coordinates of all 5 atoms:
1 Cs 0.0000 0.0000 0.5000
2 Cs 0.5000 0.0000 0.0000
3 Cs 0.0000 0.5000 0.0000
4 B 0.5000 0.5000 0.5000
5 P 0.0000 0.0000 0.0000

(5)
DFT (PBEsol) results for crystalline TcOs2W at its relaxed geometry.

Output
Relative energy among the computed polymorphs in eV per atom: 0.403
ρ in Mg/m³: 18.8
D(E_F) in states/eV per atom: 1.121
Formation enthalpy at 0 K in eV/atom: 0.43
Spin magnetization in μB/cell: 0.0

Lattice parameters (Å, degrees): 2.6785 5.2346 5.2346 118.62 102.40 102.40
Fractional coordinates of all 4 atoms:
1 Os 0.0000 0.0000 0.5000
2 Os 0.0000 0.5000 0.0000
3 Tc 0.5000 0.0000 0.0000
4 W 0.5000 0.5000 0.5000

(6)
DFT (PBEsol) results for crystalline MnTl2Sb at its relaxed geometry.

Output
Relative energy among the computed polymorphs in eV per atom: 0.038
ρ in Mg/m³: 9.1
D(E_F) in states/eV per atom: 0.627
Spin magnetization in μB/cell: 3.8

Lattice parameters (Å, degrees): 4.3435 4.3946 6.8724 108.38 90.00 119.62
Fractional coordinates of all 4 atoms:
1 Tl 0.9963 0.9926 0.9898
2 Tl 0.7701 0.5401 0.3093
3 Mn 0.5127 0.0253 0.5396
4 Sb 0.2209 0.4419 0.6612

Question: What is the formula in the fifth record?
Answer: TcOs2W

Question: Number 5 is which compound?
Answer: TcOs2W